Entry from Alexandria via LeMat-Bulk: crystalline Cd3GaFe at its relaxed geometry (GGA-PBE).

a = 5.0803 Å, b = 5.0803 Å, c = 5.0803 Å
α = 90.00°, β = 90.00°, γ = 90.00°
Each line ends with the local moment (μB).
Sites, in units of the cell vectors:
Ga 0.0000 0.0000 0.0000  0.03
Cd 0.0000 0.5000 0.0000  -0.02
Cd 0.5000 0.0000 0.0000  0.00
Cd 0.0000 0.0000 0.5000  -0.04
Fe 0.5000 0.5000 0.5000  3.27

Uncorrected energy, eV per atom: -1.985
DOS(E_F), states/eV/cell: 4.301
Formation enthalpy at 0 K, eV per atom: 0.8623
Polymorph energy (0 for the lowest one), eV/atom: 0.2156

Entry from Alexandria via LeMat-Bulk: crystalline Al2TePd8 at its relaxed geometry (GGA-PBE).

a = 4.2945 Å, b = 6.4280 Å, c = 7.5053 Å
α = 115.42°, β = 106.79°, γ = 89.92°
Sites, in units of the cell vectors:
Pd 0.1335 0.5283 0.9090
Pd 0.3497 0.8530 0.3345
Pd 0.5156 0.7261 0.6676
Pd 0.2924 0.3630 0.2219
Pd 0.6357 0.2373 0.9093
Pd 0.9811 0.0498 0.5963
Pd 0.9240 0.4267 0.4835
Pd 0.7571 0.9666 0.1498
Te 0.1364 0.9423 0.9090
Al 0.8007 0.6173 0.2374
Al 0.4738 0.2896 0.5817

Uncorrected energy, eV per atom: -5.245
Formation energy without anion corrections, eV per atom: -0.502
DOS(E_F), states/eV/cell: 5.276
Polymorph energy (0 for the lowest one), eV/atom: 0.0373

Entry from Alexandria via LeMat-Bulk: crystalline Pr2Sn5Pd3 at its relaxed geometry (GGA-PBE).

a = 6.6161 Å, b = 9.1288 Å, c = 9.1288 Å
α = 73.87°, β = 68.75°, γ = 68.75°
Sites, in units of the cell vectors:
Pd 0.6408 0.4641 0.2543
Pd 0.2500 0.0000 0.0000
Pd 0.7500 0.0000 0.0000
Pd 0.8592 0.7457 0.5359
Pd 0.3592 0.5359 0.7457
Pd 0.1408 0.2543 0.4641
Sn 0.2500 0.5000 0.5000
Sn 0.4083 0.2580 0.9253
Sn 0.5917 0.7420 0.0747
Sn 0.9736 0.7764 0.7764
Sn 0.9083 0.9253 0.2580
Sn 0.7500 0.5000 0.5000
Sn 0.0264 0.2236 0.2236
Sn 0.0917 0.0747 0.7420
Sn 0.4736 0.7764 0.7764
Sn 0.5264 0.2236 0.2236
Pr 0.3589 0.8710 0.4111
Pr 0.1411 0.5889 0.1290
Pr 0.6411 0.1290 0.5889
Pr 0.8589 0.4111 0.8710

Uncorrected energy, eV per atom: -5.223
DOS(E_F), states/eV/cell: 5.807
Formation enthalpy at 0 K, eV per atom: -0.7083
Polymorph energy (0 for the lowest one), eV/atom: 0.0046

Entry from Alexandria via LeMat-Bulk: crystalline SmHo4Sn at its relaxed geometry (GGA-PBE).

a = 4.7462 Å, b = 10.0215 Å, c = 7.7694 Å
α = 90.00°, β = 107.78°, γ = 90.00°
Sites, in units of the cell vectors:
Ho 0.4923 0.9463 0.9845
Ho 0.1770 0.9473 0.3541
Ho 0.5077 0.4463 0.0155
Ho 0.0012 0.1965 0.0025
Ho 0.9988 0.6965 0.9975
Ho 0.8230 0.4473 0.6459
Ho 0.3336 0.6907 0.6672
Ho 0.6664 0.1907 0.3328
Sn 0.1649 0.4462 0.3297
Sn 0.8351 0.9462 0.6703
Sm 0.3311 0.2065 0.6622
Sm 0.6689 0.7065 0.3378

Uncorrected energy, eV per atom: -4.728
DOS(E_F), states/eV/cell: 16.883
Formation enthalpy at 0 K, eV per atom: -0.2229

Q: Which of these has the highest DOS(E_F)?
A: SmHo4Sn

Q: Look up the uncorrected energy of the first one.
A: -1.985 eV per atom

Q: Number 3 is which compound?
A: Pr2Sn5Pd3